w:
DFT (PBE-GGA) results for a geometry-optimized YSnAu3 structure.

Computed properties:
Calculated volume: 135.31 Å³/cell

Cell lengths 5.134, 5.134, 5.134 Å; angles 90.00, 90.00, 90.00 degrees
Space group Pm-3m (No. 221)
Symmetry-distinct sites (fractional):
Y (0.000, 0.000, 0.000) [1 per cell]
Sn (0.500, 0.500, 0.500) [1 per cell]
Au (0.000, 0.500, 0.500) [3 per cell]

---

x:
DFT (PBE-GGA) results for a geometry-optimized YSnAu3 structure.

Computed properties:
Calculated volume: 156.01 Å³/cell

Cell lengths 5.383, 5.383, 5.383 Å; angles 90.00, 90.00, 90.00 degrees
Space group Pm-3m (No. 221)
Symmetry-distinct sites (fractional):
Y (0.000, 0.000, 0.000) [1 per cell]
Sn (0.500, 0.500, 0.500) [1 per cell]
Au (0.000, 0.000, 0.500) [3 per cell]

---

The structure with the most favorable energy is w; the runner-up is 31.5 kJ/mol of atoms above it.

---

w:
DFT (PBE-GGA) results for a geometry-optimized YSnAu4 structure.

Computed properties:
Calculated volume: 127.29 Å³/cell

Cell lengths 4.8153, 4.8153, 6.3388 Å; angles 90.00, 90.00, 120.00 degrees
Space group P6/mmm (No. 191)
Symmetry-distinct sites (fractional):
Y (0.0000, 0.0000, 0.0000) [1 per cell]
Sn (0.0000, 0.0000, 0.5000) [1 per cell]
Au (0.3333, 0.6667, 0.2464) [4 per cell]

---

x:
DFT (PBE-GGA) results for a geometry-optimized YSnAu4 structure.

Computed properties:
Calculated volume: 507.75 Å³/cell

Cell lengths 7.978, 7.978, 7.978 Å; angles 90.00, 90.00, 90.00 degrees
Space group F-43m (No. 216)
Symmetry-distinct sites (fractional):
Y (0.000, 0.000, 0.000) [4 per cell]
Sn (0.250, 0.250, 0.250) [4 per cell]
Au (0.125, 0.125, 0.625) [16 per cell]

---

The structure with the most favorable energy is w; the runner-up is 7.7 kJ/mol of atoms above it.